(1)
Material: NbZn2SeS
Method: DFT, GGA-PBE
State: relaxed

Computed properties:
For the uncorrected formation energy, the calculation gives 936 meV/atom.

a b c (Å): 4.7910 4.7910 4.9035
angles (deg): 90.00 90.00 90.00
Last column: nearest neighbours and their distance in Å.
Atoms (fractional coordinates):
Nb: 0.0000 0.0000 0.0000  4 S 3.39, 8 Zn 3.43
Zn: 0.0000 0.5000 0.5000  2 Se 2.40
Zn: 0.5000 0.0000 0.5000  2 Se 2.40
Se: 0.5000 0.5000 0.5000  4 Zn 2.40, 2 S 2.45
S: 0.5000 0.5000 0.0000  2 Se 2.45

---

(2)
Material: LaAl2CdAg5
Method: DFT, GGA-PBE
State: relaxed

Computed properties:
The formation energy from the elements is -20 meV/atom.

a b c (Å): 5.0010 5.0010 7.7619
angles (deg): 90.00 90.00 90.00
Last column: nearest neighbours and their distance in Å.
Atoms (fractional coordinates):
La: 0.0000 0.0000 0.0000  12 Ag 3.16-3.54
Al: 0.5000 0.5000 0.3363  1 Al 2.54, 5 Ag 2.59-2.61
Al: 0.5000 0.5000 0.6637  1 Al 2.54, 5 Ag 2.59-2.61
Cd: 0.0000 0.0000 0.5000  8 Ag 3.17
Ag: 0.0000 0.5000 0.2494  2 Al 2.59
Ag: 0.0000 0.5000 0.7506  2 Al 2.59
Ag: 0.5000 0.0000 0.2494  2 Al 2.59
Ag: 0.5000 0.0000 0.7506  2 Al 2.59
Ag: 0.5000 0.5000 0.0000  2 Al 2.61

---

(3)
Material: Mg2PbCl
Method: DFT, GGA-PBE
State: relaxed

Computed properties:
For the uncorrected formation energy, the calculation gives -397 meV/atom.

a b c (Å): 6.2307 6.2307 6.2307
angles (deg): 148.84 123.91 65.56
Last column: nearest neighbours and their distance in Å.
Atoms (fractional coordinates):
Mg: 0.0000 0.0000 0.0000  4 Mg 3.13-3.35, 2 Pb 3.29, 4 Cl 3.45
Mg: 0.7477 0.2477 0.5000  2 Cl 2.50
Pb: 0.2699 0.7699 0.5000  6 Mg 3.29-3.38, 2 Pb 3.35, 4 Cl 3.57-3.59
Cl: 0.5711 0.5711 0.0000  2 Mg 2.50

---

(4)
Material: MgIn3Pd12
Method: DFT, GGA-PBE
State: relaxed

Computed properties:
The formation energy from the elements is -438 meV/atom.

a b c (Å): 4.0208 4.0208 16.0531
angles (deg): 90.00 90.00 90.00
Last column: nearest neighbours and their distance in Å.
Atoms (fractional coordinates):
Mg: 0.0000 0.0000 0.0000  12 Pd 2.80-2.84
In: 0.0000 0.0000 0.2470  12 Pd 2.84-2.86
In: 0.0000 0.0000 0.5000  12 Pd 2.84-2.86
In: 0.0000 0.0000 0.7530  12 Pd 2.84-2.86
Pd: 0.0000 0.5000 0.1214  2 Mg 2.80, 8 Pd 2.80-2.85, 2 In 2.85
Pd: 0.0000 0.5000 0.3735  8 Pd 2.84-2.86, 4 In 2.86
Pd: 0.0000 0.5000 0.6265  8 Pd 2.84-2.86, 4 In 2.86
Pd: 0.0000 0.5000 0.8786  2 Mg 2.80, 8 Pd 2.80-2.85, 2 In 2.85
Pd: 0.5000 0.0000 0.1214  2 Mg 2.80, 8 Pd 2.80-2.85, 2 In 2.85
Pd: 0.5000 0.0000 0.3735  8 Pd 2.84-2.86, 4 In 2.86
Pd: 0.5000 0.0000 0.6265  8 Pd 2.84-2.86, 4 In 2.86
Pd: 0.5000 0.0000 0.8786  2 Mg 2.80, 8 Pd 2.80-2.85, 2 In 2.85
Pd: 0.5000 0.5000 0.0000  8 Pd 2.80, 4 Mg 2.84
Pd: 0.5000 0.5000 0.2473  4 In 2.84, 8 Pd 2.85
Pd: 0.5000 0.5000 0.5000  4 In 2.84, 8 Pd 2.86
Pd: 0.5000 0.5000 0.7527  4 In 2.84, 8 Pd 2.85

---

no.,magnetization (μB/cell)
1,3.416
2,0.000
3,0.000
4,0.000